The following is a DFT calculation (GGA-PBE) of an optimized crystal structure of Pu2CdB2Rh5.

Calculated values
Density of states at the Fermi level   2.38 states/eV/atom
Mass density   12.3 g/cm³
Space group   No. 127
E_tot   -8.46 eV per atom
Energy of formation   -47.23 kJ/mol of atoms

```
Pu2CdB2Rh5
1.0
9.807 0.000 0.000
0.000 9.807 0.000
0.000 0.000 3.182
Pu Cd B Rh
4 2 4 10
direct
0.178 0.322 0.000 Pu
0.322 0.822 0.000 Pu
0.678 0.178 0.000 Pu
0.822 0.678 0.000 Pu
0.000 0.000 0.000 Cd
0.500 0.500 0.000 Cd
0.121 0.621 0.000 B
0.379 0.121 0.000 B
0.621 0.879 0.000 B
0.879 0.379 0.000 B
0.000 0.500 0.500 Rh
0.070 0.770 0.500 Rh
0.230 0.070 0.500 Rh
0.270 0.570 0.500 Rh
0.430 0.270 0.500 Rh
0.500 0.000 0.500 Rh
0.570 0.730 0.500 Rh
0.730 0.430 0.500 Rh
0.770 0.930 0.500 Rh
0.930 0.230 0.500 Rh
```